No. 1
This record from the Alexandria database describes a relaxed TcSe2Cl crystal. The functional is PBE.

Results
Formation energy from raw total energies, eV/atom: 0.300

Cell: 3.0189 3.0189 11.2600 Å, 90.00 90.00 121.21°
Last column: nearest neighbours and their distance in Å.
Element x y z (fractional)
1 Tc 0.0000 0.0000 0.0000  2 Cl 2.43, 2 Se 2.50
2 Se 0.0000 0.0000 0.5119  6 Se 2.96-3.02
3 Se 0.5000 0.5000 0.8209  2 Tc 2.50
4 Cl 0.5000 0.5000 0.1715  2 Tc 2.43

---

No. 2
This record from the Alexandria database describes a relaxed KCa2Al crystal. The functional is PBE.

Results
Total DFT energy (no corrections), eV per atom: -1.994

Cell: 5.6469 5.6469 4.3341 Å, 90.00 90.00 90.00°
Last column: nearest neighbours and their distance in Å.
Element x y z (fractional)
1 K 0.0000 0.0000 0.0000  8 Ca 3.56
2 Ca 0.0000 0.5000 0.5000  4 Al 3.56, 4 K 3.56
3 Ca 0.5000 0.0000 0.5000  4 Al 3.56, 4 K 3.56
4 Al 0.5000 0.5000 0.0000  8 Ca 3.56

---

No. 3
This record from the Alexandria database describes a relaxed Sr6SnAu5 crystal. The functional is PBE.

Results
Total DFT energy (no corrections), eV per atom: -3.251

Cell: 9.4870 9.4870 9.4870 Å, 146.70 130.96 60.58°
Last column: nearest neighbours and their distance in Å.
Element x y z (fractional)
1 Sr 0.0788 0.3312 0.7477  7 Au 3.34-3.38, 1 Sn 3.41
2 Sr 0.2426 0.0000 0.2426  6 Au 3.32-3.35, 2 Sn 3.39
3 Sr 0.4165 0.6688 0.7477  7 Au 3.34-3.38, 1 Sn 3.41
4 Sr 0.5835 0.3312 0.2523  7 Au 3.34-3.38, 1 Sn 3.41
5 Sr 0.7574 0.0000 0.7574  6 Au 3.32-3.35, 2 Sn 3.39
6 Sr 0.9212 0.6688 0.2523  7 Au 3.34-3.38, 1 Sn 3.41
7 Sn 0.5000 0.5000 0.0000  8 Sr 3.39-3.41
8 Au 0.0000 0.5000 0.5000  8 Sr 3.32-3.38
9 Au 0.1675 0.1675 0.0000  8 Sr 3.34-3.35
10 Au 0.3375 0.8375 0.5000  8 Sr 3.35-3.38
11 Au 0.6625 0.1625 0.5000  8 Sr 3.35-3.38
12 Au 0.8325 0.8325 0.0000  8 Sr 3.34-3.35

---

No. 4
This record from the Alexandria database describes a relaxed Li2La2ThGe2 crystal. The functional is PBE.

Results
Total DFT energy (no corrections), eV per atom: -4.778

Cell: 9.6552 9.6552 9.6552 Å, 27.32 27.32 27.32°
Last column: nearest neighbours and their distance in Å.
Element x y z (fractional)
1 Li 0.0979 0.0979 0.0979  3 Ge 2.63
2 Li 0.9021 0.9021 0.9021  3 Ge 2.63
3 La 0.3696 0.3696 0.3696  3 Li 3.14, 3 Ge 3.20, 3 La 3.32
4 La 0.6304 0.6304 0.6304  3 Li 3.14, 3 Ge 3.20, 3 La 3.32
5 Th 0.5000 0.5000 0.5000  6 Ge 3.20, 6 Li 3.26
6 Ge 0.2320 0.2320 0.2320  3 Li 2.63
7 Ge 0.7680 0.7680 0.7680  3 Li 2.63